Material: TlSn2Pb3
Method: DFT, GGA-PBE
State: optimized geometry

Calculated volume ... 30.28 Å³ per atom
DOS(E_F) ... 0.424 states/eV per atom
ΔE_f ... 49 meV/atom

a b c (Å): 5.9411 5.9411 6.0094
angles (deg): 90.00 90.00 121.07
Sites, in units of the cell vectors:
Tl  0.0000  0.0000  0.0000
Sn  0.3275  0.6725  0.0000
Sn  0.6725  0.3275  0.0000
Pb  0.1694  0.8306  0.5000
Pb  0.5000  0.5000  0.5000
Pb  0.8306  0.1694  0.5000